This record from Alexandria describes a relaxed Li3Pa2FeN6 crystal. The functional is PBE.

Lattice parameters (Å, degrees): 5.613 10.223 5.286 90.00 106.72 90.00
Space group C2/m (No. 12)
One atom of each set of equivalent atoms:
Li (0.000, 0.000, 0.000) x2
Li (0.000, 0.378, 0.000) x4
Pa (0.000, 0.166, 0.500) x4
Fe (0.000, 0.500, 0.500) x2
N (0.214, 0.352, 0.712) x8
N (0.245, 0.000, 0.717) x4

Total magnetic moment (Bohr magnetons per cell): 5.98
Calculated total energy (eV per formula unit): -92.23
Crystal system: monoclinic

This record from Alexandria describes a relaxed Li2PaFe2N4 crystal. The functional is PBE.

Lattice parameters (Å, degrees): 13.496 3.348 5.168 90.00 100.54 90.00
Space group C2/m (No. 12)
One atom of each set of equivalent atoms:
Li (0.148, 0.000, 0.000) x4
Pa (0.000, 0.000, 0.500) x2
Fe (0.196, 0.500, 0.570) x4
N (0.082, 0.500, 0.746) x4
N (0.166, 0.000, 0.403) x4

Total magnetic moment (Bohr magnetons per cell): 0.37
Calculated total energy (eV per formula unit): -69.25
Crystal system: monoclinic

This record from Alexandria describes a relaxed Li2PaFeN4 crystal. The functional is PBE.

Lattice parameters (Å, degrees): 5.293 5.293 6.052 90.00 90.00 90.00
Space group I-42m (No. 121)
One atom of each set of equivalent atoms:
Li (0.000, 0.500, 0.250) x4
Pa (0.000, 0.000, 0.000) x2
Fe (0.000, 0.000, 0.500) x2
N (0.200, 0.200, 0.655) x8

Total magnetic moment (Bohr magnetons per cell): 1.97
Calculated total energy (eV per formula unit): -59.39
Crystal system: tetragonal

This record from Alexandria describes a relaxed LiPa2Fe2N6 crystal. The functional is PBE.

Lattice parameters (Å, degrees): 5.2017 5.2017 17.0175 90.00 90.00 120.00
Space group R-3m (No. 166, hexagonal axes)
One atom of each set of equivalent atoms:
Li (0.0000, 0.0000, 0.0000) x3
Pa (0.0000, 0.0000, 0.2125) x6
Fe (0.0000, 0.0000, 0.3943) x6
N (0.0137, 0.5068, 0.7670) x18

Total magnetic moment (Bohr magnetons per cell): 7.30
Calculated total energy (eV per formula unit): -92.03
Crystal system: trigonal

This record from Alexandria describes a relaxed LiPa2FeN5 crystal. The functional is PBE.

Lattice parameters (Å, degrees): 3.300 13.883 8.773 90.00 90.00 90.00
Space group Cmcm (No. 63)
One atom of each set of equivalent atoms:
Li (0.000, 0.017, 0.250) x4
Pa (0.000, 0.373, 0.035) x8
Fe (0.000, 0.283, 0.750) x4
N (0.000, 0.000, 0.000) x4
N (0.000, 0.135, 0.750) x4
N (0.000, 0.213, 0.106) x8
N (0.000, 0.411, 0.750) x4

Total magnetic moment (Bohr magnetons per cell): 7.88
Calculated total energy (eV per formula unit): -78.90
Crystal system: orthorhombic

This record from Alexandria describes a relaxed LiPa2FeN4 crystal. The functional is PBE.

Lattice parameters (Å, degrees): 10.534 8.224 7.532 90.00 132.74 90.00
Space group C2/c (No. 15)
One atom of each set of equivalent atoms:
Li (0.250, 0.250, 0.000) x4
Pa (0.000, 0.000, 0.000) x4
Pa (0.250, 0.250, 0.500) x4
Fe (0.000, 0.500, 0.000) x4
N (0.011, 0.271, 0.064) x8
N (0.177, 0.005, 0.913) x8

Total magnetic moment (Bohr magnetons per cell): 11.99
Calculated total energy (eV per formula unit): -70.11
Crystal system: monoclinic

This record from Alexandria describes a relaxed Li4Pa3FeN8 crystal. The functional is PBE.

Lattice parameters (Å, degrees): 6.7734 6.7734 15.3035 90.00 90.00 120.00
Space group R-3m (No. 166, hexagonal axes)
One atom of each set of equivalent atoms:
Li (0.0000, 0.0000, 0.0000) x3
Li (0.0000, 0.5000, 0.0000) x9
Pa (0.0000, 0.5000, 0.5000) x9
Fe (0.0000, 0.0000, 0.5000) x3
N (0.0000, 0.0000, 0.2394) x6
N (0.0189, 0.5094, 0.2373) x18

Total magnetic moment (Bohr magnetons per cell): 9.36
Calculated total energy (eV per formula unit): -124.38
Crystal system: trigonal

This record from Alexandria describes a relaxed LiFe2PbN crystal. The functional is PBE.

Lattice parameters (Å, degrees): 3.868 3.868 4.349 90.00 90.00 90.00
Space group P4/mmm (No. 123)
One atom of each set of equivalent atoms:
Li (0.000, 0.000, 0.000) x1
Fe (0.000, 0.500, 0.500) x2
Pb (0.500, 0.500, 0.000) x1
N (0.000, 0.000, 0.500) x1

Total magnetic moment (Bohr magnetons per cell): 4.24
Calculated total energy (eV per formula unit): -30.93
Crystal system: tetragonal